--- w ---
The following is a PBE calculation of crystalline CrNiPd3 at its relaxed geometry, from Alexandria.

Computed properties:
Total magnetic moment (μB/f.u.): 2.9

a b c (Å): 4.6220 4.6298 7.3294
angles (deg): 84.82 108.35 106.55
Positions (direct):
Pd: 0.4704 0.8511 0.2019
Pd: 0.2642 0.8405 0.8097
Pd: 0.7611 0.3411 0.8048
Pd: 0.0745 0.8583 0.4188
Pd: 0.5753 0.3512 0.4126
Pd: 0.9627 0.3585 0.1958
Cr: 0.1665 0.3470 0.6125
Cr: 0.8625 0.8482 0.0021
Ni: 0.6474 0.8244 0.6101
Ni: 0.3437 0.3237 0.0045


--- x ---
The following is a PBE calculation of crystalline CrNiPd3 at its relaxed geometry, from Alexandria.

Computed properties:
Total magnetic moment (μB/f.u.): 4.4

a b c (Å): 4.5448 4.5448 4.5448
angles (deg): 90.00 90.00 90.00
Positions (direct):
Pd: 0.0000 0.0000 0.5000
Pd: 0.5000 0.0000 0.0000
Pd: 0.0000 0.5000 0.0000
Cr: 0.5000 0.5000 0.5000
Ni: 0.0000 0.0000 0.0000


--- y ---
The following is a PBE calculation of crystalline CrNiPd3 at its relaxed geometry, from Alexandria.

Computed properties:
Total magnetic moment (μB/f.u.): 2.4

a b c (Å): 4.1293 5.4592 6.9049
angles (deg): 90.00 90.00 90.00
Positions (direct):
Cr: 0.2500 0.7500 0.8207
Cr: 0.7500 0.2500 0.1793
Pd: 0.7500 0.7500 0.0619
Pd: 0.2500 0.5095 0.2865
Pd: 0.2500 0.2500 0.9381
Pd: 0.7500 0.0095 0.7135
Pd: 0.7500 0.4905 0.7135
Pd: 0.2500 0.9905 0.2865
Ni: 0.2500 0.2500 0.5783
Ni: 0.7500 0.7500 0.4217


What is the stability order? It is w, y, x, from most stable to least stable.


--- w ---
The following is a PBE calculation of crystalline CrNi3Pd at its relaxed geometry, from Alexandria.

Computed properties:
Total magnetic moment (μB/f.u.): 0.0

a b c (Å): 4.1921 4.1921 4.1921
angles (deg): 90.00 90.00 90.00
Positions (direct):
Pd: 0.5000 0.5000 0.5000
Ni: 0.5000 0.0000 0.0000
Ni: 0.0000 0.5000 0.0000
Ni: 0.0000 0.0000 0.5000
Cr: 0.0000 0.0000 0.0000


--- x ---
The following is a PBE calculation of crystalline CrNi3Pd at its relaxed geometry, from Alexandria.

Computed properties:
Total magnetic moment (μB/f.u.): 0.0

a b c (Å): 5.6844 5.2005 7.5655
angles (deg): 90.49 35.61 76.87
Positions (direct):
Ni: 0.3124 0.0486 0.9067
Ni: 0.6876 0.9514 0.0933
Ni: 0.3095 0.5443 0.9043
Ni: 0.6905 0.4557 0.0957
Ni: 0.8772 0.6525 0.7078
Ni: 0.1228 0.3475 0.2922
Pd: 0.4977 0.7513 0.5031
Pd: 0.5023 0.2487 0.4969
Cr: 0.8933 0.1480 0.6898
Cr: 0.1067 0.8520 0.3102


--- y ---
The following is a PBE calculation of crystalline CrNi3Pd at its relaxed geometry, from Alexandria.

Computed properties:
Total magnetic moment (μB/f.u.): 0.3

a b c (Å): 6.3314 4.4927 4.7130
angles (deg): 90.65 110.46 75.36
Positions (direct):
Ni: 0.5999 0.5432 0.5516
Ni: 0.3855 0.7584 0.9323
Ni: 0.6861 0.0050 0.3465
Ni: 0.2991 0.2909 0.6275
Ni: 0.6865 0.0102 0.8566
Ni: 0.2993 0.2969 0.1375
Cr: 0.9927 0.1508 0.7420
Cr: 0.9927 0.6508 0.7419
Pd: 0.8428 0.4529 0.1711
Pd: 0.1426 0.8486 0.3128


What is the stability order? It is x, y, w, from most stable to least stable.


--- w ---
The following is a PBE calculation of crystalline CrNi2Pd6 at its relaxed geometry, from Alexandria.

Computed properties:
Total magnetic moment (μB/f.u.): 0.9

a b c (Å): 3.9035 4.6766 8.2182
angles (deg): 71.95 76.26 65.33
Positions (direct):
Pd: 0.6654 0.0636 0.6056
Pd: 0.3317 0.2795 0.0572
Pd: 0.6683 0.7205 0.9428
Pd: 0.0002 0.8217 0.1780
Pd: 0.3346 0.9364 0.3944
Pd: 0.9998 0.1783 0.8220
Ni: 0.3338 0.6119 0.7204
Ni: 0.6662 0.3881 0.2796
Cr: 0.0000 0.5000 0.5000


--- x ---
The following is a PBE calculation of crystalline CrNi2Pd6 at its relaxed geometry, from Alexandria.

Computed properties:
Total magnetic moment (μB/f.u.): 4.6

a b c (Å): 3.9166 5.9180 6.1725
angles (deg): 83.97 71.50 70.68
Positions (direct):
Pd: 0.9910 0.1855 0.8325
Pd: 0.0090 0.8145 0.1675
Pd: 0.3235 0.1855 0.1675
Pd: 0.6765 0.8145 0.8325
Pd: 0.6567 0.1865 0.5000
Pd: 0.3433 0.8135 0.5000
Cr: 0.0000 0.5000 0.5000
Ni: 0.6687 0.5000 0.1625
Ni: 0.3313 0.5000 0.8375


What is the stability order? It is x, w, from most stable to least stable.